Record 1
{
  "formula": "TbY3Al",
  "functional": "PBE-GGA",
  "state": "optimized geometry",
  "cell": [[6.216, -6.999, 0.000], [6.216, 6.999, 0.000], [-1.300, 0.000, 6.945]],
  "species": ["Tb", "Tb", "Tb", "Tb", "Y", "Y", "Y", "Y", "Y", "Y", "Y", "Y", "Y", "Y", "Y", "Y", "Al", "Al", "Al", "Al"],
  "frac_coords": [[0.073, 0.705, 0.846], [0.295, 0.927, 0.654], [0.705, 0.073, 0.346], [0.927, 0.295, 0.154], [0.051, 0.177, 0.609], [0.177, 0.051, 0.109], [0.214, 0.523, 0.471], [0.236, 0.424, 0.975], [0.424, 0.236, 0.475], [0.477, 0.786, 0.029], [0.523, 0.214, 0.971], [0.576, 0.764, 0.525], [0.764, 0.576, 0.025], [0.786, 0.477, 0.529], [0.823, 0.949, 0.891], [0.949, 0.823, 0.391], [0.236, 0.764, 0.250], [0.489, 0.511, 0.750], [0.511, 0.489, 0.250], [0.764, 0.236, 0.750]],
  "total_energy_ev_per_atom": -5.547,
  "relative_energy_kj_per_mol_fu": 74,
  "spacegroup": "C2/c, No. 15"
}



Record 2
{
  "formula": "Tb4YAl",
  "functional": "PBE-GGA",
  "state": "optimized geometry",
  "cell": [[4.369, -6.921, 0.000], [4.369, 6.921, 0.000], [-1.999, 0.000, 5.936]],
  "species": ["Tb", "Tb", "Tb", "Tb", "Tb", "Tb", "Tb", "Tb", "Y", "Y", "Al", "Al"],
  "frac_coords": [[0.086, 0.717, 0.957], [0.160, 0.398, 0.622], [0.283, 0.914, 0.543], [0.398, 0.160, 0.122], [0.602, 0.840, 0.878], [0.717, 0.086, 0.457], [0.840, 0.602, 0.378], [0.914, 0.283, 0.043], [0.410, 0.590, 0.250], [0.590, 0.410, 0.750], [0.001, 0.999, 0.750], [0.999, 0.001, 0.250]],
  "total_energy_ev_per_atom": -4.824,
  "relative_energy_kj_per_mol_fu": 46,
  "spacegroup": "C2/c, No. 15"
}



Record 3
{
  "formula": "Tb7YAl4",
  "functional": "PBE-GGA",
  "state": "optimized geometry",
  "cell": [[6.951, -2.750, 0.000], [6.951, 2.750, 0.000], [-5.928, 0.000, 8.626]],
  "species": ["Tb", "Tb", "Tb", "Tb", "Tb", "Tb", "Tb", "Y", "Al", "Al", "Al", "Al"],
  "frac_coords": [[0.000, 0.000, 0.000], [0.203, 0.203, 0.646], [0.289, 0.289, 0.122], [0.435, 0.435, 0.611], [0.565, 0.565, 0.389], [0.711, 0.711, 0.878], [0.797, 0.797, 0.354], [0.500, 0.500, 0.000], [0.054, 0.054, 0.762], [0.176, 0.176, 0.332], [0.824, 0.824, 0.668], [0.946, 0.946, 0.238]],
  "total_energy_ev_per_atom": -4.545,
  "spacegroup": "C2/m, No. 12"
}



Record 4
{
  "formula": "TbY8Al2",
  "functional": "PBE-GGA",
  "state": "optimized geometry",
  "cell": [[8.230, -2.609, 0.000], [8.230, 2.609, 0.000], [-3.381, 0.000, 7.530]],
  "species": ["Tb", "Y", "Y", "Y", "Y", "Y", "Y", "Y", "Y", "Al", "Al"],
  "frac_coords": [[0.000, 0.000, 0.000], [0.111, 0.111, 0.472], [0.188, 0.188, 0.954], [0.346, 0.346, 0.777], [0.443, 0.443, 0.266], [0.557, 0.557, 0.734], [0.654, 0.654, 0.223], [0.812, 0.812, 0.046], [0.889, 0.889, 0.528], [0.276, 0.276, 0.358], [0.724, 0.724, 0.642]],
  "total_energy_ev_per_atom": -5.922,
  "relative_energy_kj_per_mol_fu": 0,
  "spacegroup": "C2/m, No. 12"
}



Record 5
{
  "formula": "Tb3YAl8",
  "functional": "PBE-GGA",
  "state": "optimized geometry",
  "cell": [[5.562, 0.000, 0.000], [-2.781, 4.817, 0.000], [0.000, 0.000, 9.153]],
  "species": ["Tb", "Tb", "Tb", "Y", "Al", "Al", "Al", "Al", "Al", "Al", "Al", "Al"],
  "frac_coords": [[0.000, 0.000, 0.000], [0.000, 0.000, 0.364], [0.333, 0.667, 0.864], [0.333, 0.667, 0.499], [0.009, 0.505, 0.182], [0.324, 0.162, 0.682], [0.495, 0.505, 0.182], [0.495, 0.991, 0.182], [0.667, 0.333, 0.432], [0.667, 0.333, 0.931], [0.838, 0.162, 0.682], [0.838, 0.676, 0.682]],
  "total_energy_ev_per_atom": -4.706,
  "relative_energy_kj_per_mol_fu": 10,
  "spacegroup": "P3m1, No. 156"
}



Record 6
{
  "formula": "TbY2Al9",
  "functional": "PBE-GGA",
  "state": "optimized geometry",
  "cell": [[2.789, 1.610, 8.762], [-2.789, 1.610, 8.762], [0.000, -3.220, 8.762]],
  "species": ["Tb", "Y", "Y", "Al", "Al", "Al", "Al", "Al", "Al", "Al", "Al", "Al"],
  "frac_coords": [[0.000, 0.000, 0.000], [0.142, 0.142, 0.142], [0.858, 0.858, 0.858], [0.076, 0.587, 0.587], [0.335, 0.335, 0.335], [0.413, 0.413, 0.924], [0.413, 0.924, 0.413], [0.500, 0.500, 0.500], [0.587, 0.076, 0.587], [0.587, 0.587, 0.076], [0.665, 0.665, 0.665], [0.924, 0.413, 0.413]],
  "total_energy_ev_per_atom": -4.644,
  "spacegroup": "R-3m, No. 166"
}



Record 7
{
  "formula": "TbY6Al2",
  "functional": "PBE-GGA",
  "state": "optimized geometry",
  "cell": [[6.296, -1.838, 0.000], [6.296, 1.838, 0.000], [-3.797, 0.000, 11.224]],
  "species": ["Tb", "Y", "Y", "Y", "Y", "Y", "Y", "Al", "Al"],
  "frac_coords": [[0.000, 0.000, 0.000], [0.022, 0.022, 0.330], [0.311, 0.311, 0.411], [0.312, 0.312, 0.124], [0.688, 0.688, 0.876], [0.689, 0.689, 0.589], [0.978, 0.978, 0.670], [0.352, 0.352, 0.795], [0.648, 0.648, 0.205]],
  "total_energy_ev_per_atom": -5.833,
  "spacegroup": "C2/m, No. 12"
}



Record 8
{
  "formula": "Tb3YAl8",
  "functional": "PBE-GGA",
  "state": "optimized geometry",
  "cell": [[2.784, 1.607, 9.136], [-2.784, 1.607, 9.136], [0.000, -3.215, 9.136]],
  "species": ["Tb", "Tb", "Tb", "Y", "Al", "Al", "Al", "Al", "Al", "Al", "Al", "Al"],
  "frac_coords": [[0.000, 0.000, 0.000], [0.124, 0.124, 0.124], [0.625, 0.625, 0.625], [0.500, 0.500, 0.500], [0.062, 0.062, 0.562], [0.062, 0.562, 0.062], [0.062, 0.562, 0.562], [0.312, 0.312, 0.312], [0.562, 0.062, 0.062], [0.562, 0.062, 0.562], [0.562, 0.562, 0.062], [0.812, 0.812, 0.812]],
  "total_energy_ev_per_atom": -4.715,
  "relative_energy_kj_per_mol_fu": 0,
  "spacegroup": "R3m, No. 160"
}



Record 9
{
  "formula": "Tb4Y3Al4",
  "functional": "PBE-GGA",
  "state": "optimized geometry",
  "cell": [[-2.573, 3.364, 8.567], [2.573, -3.364, 8.567], [2.573, 3.364, -8.567]],
  "species": ["Tb", "Tb", "Tb", "Tb", "Y", "Y", "Y", "Al", "Al", "Al", "Al"],
  "frac_coords": [[0.056, 0.820, 0.235], [0.415, 0.180, 0.235], [0.585, 0.820, 0.765], [0.944, 0.180, 0.765], [0.000, 0.500, 0.500], [0.401, 0.401, 0.000], [0.599, 0.599, 0.000], [0.172, 0.672, 0.500], [0.297, 0.000, 0.297], [0.703, 0.000, 0.703], [0.828, 0.328, 0.500]],
  "total_energy_ev_per_atom": -4.998,
  "spacegroup": "Immm, No. 71"
}



Record 10
{
  "formula": "TbYAlZn",
  "functional": "PBE-GGA",
  "state": "optimized geometry",
  "cell": [[0.000, 3.605, 3.605], [3.605, 0.000, 3.605], [3.605, 3.605, 0.000]],
  "species": ["Tb", "Y", "Al", "Zn"],
  "frac_coords": [[0.000, 0.000, 0.000], [0.500, 0.500, 0.500], [0.250, 0.250, 0.250], [0.750, 0.750, 0.750]],
  "total_energy_ev_per_atom": -4.415,
  "spacegroup": "F-43m, No. 216"
}



Record 11
{
  "formula": "Tb4AlZn",
  "functional": "PBE-GGA",
  "state": "optimized geometry",
  "cell": [[4.981, 0.000, 0.000], [0.000, 4.981, 0.000], [0.000, 0.000, 7.176]],
  "species": ["Tb", "Tb", "Tb", "Tb", "Al", "Zn"],
  "frac_coords": [[0.000, 0.500, 0.245], [0.000, 0.500, 0.755], [0.500, 0.000, 0.245], [0.500, 0.000, 0.755], [0.000, 0.000, 0.500], [0.500, 0.500, 0.000]],
  "total_energy_ev_per_atom": -3.917,
  "relative_energy_kj_per_mol_fu": 131,
  "spacegroup": "P4/mmm, No. 123"
}



Record 12
{
  "formula": "Tb7Al2Zn2",
  "functional": "PBE-GGA",
  "state": "optimized geometry",
  "cell": [[3.802, -5.459, 0.000], [3.802, 5.459, 0.000], [0.000, 0.000, 7.459]],
  "species": ["Tb", "Tb", "Tb", "Tb", "Tb", "Tb", "Tb", "Al", "Al", "Zn", "Zn"],
  "frac_coords": [[0.000, 0.000, 0.000], [0.000, 0.500, 0.282], [0.000, 0.500, 0.718], [0.500, 0.000, 0.282], [0.500, 0.000, 0.718], [0.500, 0.500, 0.254], [0.500, 0.500, 0.746], [0.170, 0.170, 0.500], [0.830, 0.830, 0.500], [0.290, 0.710, 0.000], [0.710, 0.290, 0.000]],
  "total_energy_ev_per_atom": -3.867,
  "spacegroup": "Cmmm, No. 65"
}



Record 13
{
  "formula": "Tb6Al3Zn",
  "functional": "PBE-GGA",
  "state": "optimized geometry",
  "cell": [[9.071, 0.000, 0.000], [0.000, 5.130, 0.000], [-3.696, 0.000, 10.809]],
  "species": ["Tb", "Tb", "Tb", "Tb", "Tb", "Tb", "Tb", "Tb", "Tb", "Tb", "Tb", "Tb", "Al", "Al", "Al", "Al", "Al", "Al", "Zn", "Zn"],
  "frac_coords": [[0.035, 0.250, 0.412], [0.162, 0.750, 0.169], [0.252, 0.250, 0.999], [0.341, 0.750, 0.812], [0.370, 0.250, 0.346], [0.392, 0.250, 0.629], [0.608, 0.750, 0.371], [0.630, 0.750, 0.654], [0.659, 0.250, 0.188], [0.748, 0.750, 0.001], [0.838, 0.250, 0.831], [0.965, 0.750, 0.588], [0.030, 0.750, 0.877], [0.113, 0.250, 0.719], [0.269, 0.750, 0.468], [0.731, 0.250, 0.532], [0.887, 0.750, 0.281], [0.970, 0.250, 0.123], [0.460, 0.750, 0.096], [0.540, 0.250, 0.904]],
  "total_energy_ev_per_atom": -4.313,
  "spacegroup": "P2_1/m, No. 11"
}



Record 14
{
  "formula": "TbAl2Zn",
  "functional": "PBE-GGA",
  "state": "optimized geometry",
  "cell": [[0.000, 3.397, 3.397], [3.397, 0.000, 3.397], [3.397, 3.397, 0.000]],
  "species": ["Tb", "Al", "Al", "Zn"],
  "frac_coords": [[0.000, 0.000, 0.000], [0.250, 0.250, 0.250], [0.750, 0.750, 0.750], [0.500, 0.500, 0.500]],
  "total_energy_ev_per_atom": -3.431,
  "spacegroup": "Fm-3m, No. 225"
}



Record 15
{
  "formula": "Tb6AlZn5",
  "functional": "PBE-GGA",
  "state": "optimized geometry",
  "cell": [[2.529, -7.606, 0.000], [2.529, 7.606, 0.000], [0.000, 0.000, 7.233]],
  "species": ["Tb", "Tb", "Tb", "Tb", "Tb", "Tb", "Al", "Zn", "Zn", "Zn", "Zn", "Zn"],
  "frac_coords": [[0.000, 0.000, 0.248], [0.000, 0.000, 0.752], [0.333, 0.667, 0.250], [0.333, 0.667, 0.750], [0.667, 0.333, 0.250], [0.667, 0.333, 0.750], [0.500, 0.500, 0.500], [0.164, 0.836, 0.500], [0.166, 0.834, 0.000], [0.500, 0.500, 0.000], [0.834, 0.166, 0.000], [0.836, 0.164, 0.500]],
  "total_energy_ev_per_atom": -3.505,
  "spacegroup": "Cmmm, No. 65"
}



Record 16
{
  "formula": "Tb3AlZn2",
  "functional": "PBE-GGA",
  "state": "optimized geometry",
  "cell": [[3.566, 0.000, 0.000], [0.000, 3.566, 0.000], [0.000, 0.000, 10.983]],
  "species": ["Tb", "Tb", "Tb", "Al", "Zn", "Zn"],
  "frac_coords": [[0.000, 0.000, 0.000], [0.000, 0.000, 0.328], [0.000, 0.000, 0.672], [0.500, 0.500, 0.500], [0.500, 0.500, 0.163], [0.500, 0.500, 0.837]],
  "total_energy_ev_per_atom": -3.722,
  "spacegroup": "P4/mmm, No. 123"
}



Record 17
{
  "formula": "Tb2AlZn16",
  "functional": "PBE-GGA",
  "state": "optimized geometry",
  "cell": [[4.495, 2.595, 4.387], [-4.495, 2.595, 4.387], [0.000, -5.190, 4.387]],
  "species": ["Tb", "Tb", "Al", "Zn", "Zn", "Zn", "Zn", "Zn", "Zn", "Zn", "Zn", "Zn", "Zn", "Zn", "Zn", "Zn", "Zn", "Zn", "Zn"],
  "frac_coords": [[0.000, 0.000, 0.000], [0.330, 0.330, 0.330], [0.762, 0.762, 0.762], [0.017, 0.017, 0.502], [0.017, 0.502, 0.017], [0.168, 0.664, 0.664], [0.313, 0.313, 0.829], [0.313, 0.829, 0.313], [0.366, 0.665, 0.964], [0.366, 0.964, 0.665], [0.502, 0.017, 0.017], [0.564, 0.564, 0.564], [0.664, 0.168, 0.664], [0.664, 0.664, 0.168], [0.665, 0.366, 0.964], [0.665, 0.964, 0.366], [0.829, 0.313, 0.313], [0.964, 0.366, 0.665], [0.964, 0.665, 0.366]],
  "total_energy_ev_per_atom": -1.993,
  "spacegroup": "R3m, No. 160"
}



Record 18
{
  "formula": "TbAl2Zn",
  "functional": "PBE-GGA",
  "state": "optimized geometry",
  "cell": [[2.723, -4.656, 0.000], [2.723, 4.656, 0.000], [0.000, 0.000, 3.292]],
  "species": ["Tb", "Al", "Al", "Zn"],
  "frac_coords": [[0.000, 0.000, 0.000], [0.000, 0.500, 0.500], [0.500, 0.000, 0.500], [0.500, 0.500, 0.500]],
  "total_energy_ev_per_atom": -3.556,
  "spacegroup": "Cmmm, No. 65"
}



Record 19
{
  "formula": "TbAlZn11",
  "functional": "PBE-GGA",
  "state": "optimized geometry",
  "cell": [[2.630, -6.275, 0.000], [2.630, 6.275, 0.000], [-2.616, 0.000, 6.274]],
  "species": ["Tb", "Al", "Zn", "Zn", "Zn", "Zn", "Zn", "Zn", "Zn", "Zn", "Zn", "Zn", "Zn"],
  "frac_coords": [[0.000, 0.000, 0.000], [0.000, 0.000, 0.500], [0.000, 0.355, 0.353], [0.000, 0.500, 0.000], [0.000, 0.645, 0.647], [0.286, 0.505, 0.784], [0.355, 0.000, 0.353], [0.495, 0.714, 0.216], [0.500, 0.000, 0.000], [0.500, 0.500, 0.500], [0.505, 0.286, 0.784], [0.645, 0.000, 0.647], [0.714, 0.495, 0.216]],
  "total_energy_ev_per_atom": -1.895,
  "spacegroup": "C2/m, No. 12"
}



Record 20
{
  "formula": "Tb2Al3Zn5",
  "functional": "PBE-GGA",
  "state": "optimized geometry",
  "cell": [[-5.342, 5.903, 2.954], [5.342, -5.903, 2.954], [5.342, 5.903, -2.954]],
  "species": ["Tb", "Tb", "Tb", "Tb", "Al", "Al", "Al", "Al", "Al", "Al", "Zn", "Zn", "Zn", "Zn", "Zn", "Zn", "Zn", "Zn", "Zn", "Zn"],
  "frac_coords": [[0.125, 0.247, 0.371], [0.375, 0.747, 0.122], [0.625, 0.253, 0.878], [0.875, 0.753, 0.629], [0.128, 0.867, 0.995], [0.250, 0.750, 0.500], [0.372, 0.367, 0.739], [0.628, 0.633, 0.261], [0.750, 0.250, 0.500], [0.872, 0.133, 0.005], [0.007, 0.750, 0.257], [0.124, 0.640, 0.765], [0.250, 0.250, 0.000], [0.376, 0.140, 0.516], [0.493, 0.750, 0.743], [0.507, 0.250, 0.257], [0.624, 0.860, 0.484], [0.750, 0.750, 0.000], [0.876, 0.360, 0.235], [0.993, 0.250, 0.743]],
  "total_energy_ev_per_atom": -3.046,
  "spacegroup": "Ibam, No. 72"
}



Record 21
{
  "formula": "Tb3AlZn8",
  "functional": "PBE-GGA",
  "state": "optimized geometry",
  "cell": [[2.722, 1.572, 8.748], [-2.722, 1.572, 8.748], [0.000, -3.143, 8.748]],
  "species": ["Tb", "Tb", "Tb", "Al", "Zn", "Zn", "Zn", "Zn", "Zn", "Zn", "Zn", "Zn"],
  "frac_coords": [[0.000, 0.000, 0.000], [0.126, 0.126, 0.126], [0.616, 0.616, 0.616], [0.494, 0.494, 0.494], [0.059, 0.562, 0.562], [0.061, 0.061, 0.559], [0.061, 0.559, 0.061], [0.311, 0.311, 0.311], [0.559, 0.061, 0.061], [0.562, 0.059, 0.562], [0.562, 0.562, 0.059], [0.810, 0.810, 0.810]],
  "total_energy_ev_per_atom": -2.573,
  "spacegroup": "R3m, No. 160"
}